Record 1
A plane-wave DFT calculation with GGA-PBE was carried out for crystalline AlAsPt at its relaxed geometry.

Calculated values
**Energy of formation from the pure elements**: -0.5819 eV/atom
**N(E_F)**: 0.25 states/eV per atom
**DFT total energy**: -5.393 eV/atom

Unit cell a=6.0142 b=6.0142 c=6.0142 alpha=90.00 beta=90.00 gamma=90.00
With the nearest neighbours (Å) after each atom.
Space group F-43m (No. 216)
Inequivalent atoms, fractional coordinates:
1 Al 0.0000 0.0000 0.0000  4 Pt 2.60
2 As 0.0000 0.0000 0.5000  4 Pt 2.60
3 Pt 0.2500 0.2500 0.2500  4 As 2.60, 4 Al 2.60

***

Record 2
A plane-wave DFT calculation with GGA-PBE was carried out for crystalline AlAsPt5 at its relaxed geometry.

Calculated values
**Energy of formation from the pure elements**: -0.5279 eV/atom
**N(E_F)**: 0.14 states/eV per atom
**DFT total energy**: -6.042 eV/atom

Unit cell a=3.9870 b=3.9870 c=7.0529 alpha=90.00 beta=90.00 gamma=90.00
With the nearest neighbours (Å) after each atom.
Space group P4/mmm (No. 123)
Inequivalent atoms, fractional coordinates:
1 Al 0.0000 0.0000 0.0000  12 Pt 2.77-2.82
2 As 0.5000 0.5000 0.5000  8 Pt 2.56
3 Pt 0.0000 0.5000 0.2725  2 As 2.56, 6 Pt 2.77-2.82, 2 Al 2.77
4 Pt 0.5000 0.5000 0.0000  8 Pt 2.77, 4 Al 2.82

***

Record 3
A plane-wave DFT calculation with GGA-PBE was carried out for crystalline AlAs2Pt at its relaxed geometry.

Calculated values
**Energy of formation from the pure elements**: -0.0116 eV/atom
**N(E_F)**: 0.36 states/eV per atom
**DFT total energy**: -4.782 eV/atom

Unit cell a=5.3249 b=7.2117 c=3.6429 alpha=90.00 beta=90.00 gamma=90.00
With the nearest neighbours (Å) after each atom.
Space group Cmmm (No. 65)
Inequivalent atoms, fractional coordinates:
1 Al 0.0000 0.0000 0.0000  2 Pt 2.66, 8 As 2.89
2 As 0.2500 0.2500 0.5000  2 As 2.66, 4 Al 2.89, 4 Pt 2.89
3 Pt 0.0000 0.5000 0.0000  2 Al 2.66, 8 As 2.89

***

Record 4
A plane-wave DFT calculation with GGA-PBE was carried out for crystalline AlAs2Pt at its relaxed geometry.

Calculated values
**Energy of formation from the pure elements**: -0.2502 eV/atom
**N(E_F)**: 0.32 states/eV per atom
**DFT total energy**: -5.021 eV/atom

Unit cell a=7.7040 b=3.4666 c=6.2325 alpha=90.00 beta=114.20 gamma=90.00
With the nearest neighbours (Å) after each atom.
Space group Cm (No. 8)
Inequivalent atoms, fractional coordinates:
1 Al 0.0000 0.0000 0.0000  3 As 2.50-2.73, 3 Pt 2.57
2 As 0.2932 0.5000 0.2222  3 Al 2.50-2.73, 2 As 2.75
3 As 0.4546 0.0000 0.5931  3 Pt 2.53-2.66, 2 As 2.75
4 Pt 0.2358 0.0000 0.8040  3 As 2.53-2.66, 3 Al 2.57

***

Record 5
A plane-wave DFT calculation with GGA-PBE was carried out for crystalline AlAs2Pt at its relaxed geometry.

Calculated values
**Energy of formation from the pure elements**: -0.1900 eV/atom
**N(E_F)**: 0.57 states/eV per atom
**DFT total energy**: -4.961 eV/atom

Unit cell a=5.5280 b=5.5280 c=12.0517 alpha=90.00 beta=90.00 gamma=90.00
With the nearest neighbours (Å) after each atom.
Space group I-42d (No. 122)
Inequivalent atoms, fractional coordinates:
1 Al 0.0000 0.0000 0.0000  4 As 2.50
2 As 0.2390 0.2500 0.6250  2 Pt 2.43, 2 Al 2.50
3 Pt 0.0000 0.0000 0.5000  4 As 2.43

***

Record 6
A plane-wave DFT calculation with GGA-PBE was carried out for crystalline AlAs2Pt at its relaxed geometry.

Calculated values
**Energy of formation from the pure elements**: -0.1747 eV/atom
**N(E_F)**: 0.46 states/eV per atom
**DFT total energy**: -4.945 eV/atom

Unit cell a=3.8500 b=3.8500 c=17.3578 alpha=90.00 beta=90.00 gamma=120.00
With the nearest neighbours (Å) after each atom.
Space group R-3m (No. 166, hexagonal axes)
Inequivalent atoms, fractional coordinates:
1 Al 0.0000 0.0000 0.0000  6 As 2.72
2 As 0.0000 0.0000 0.2425  3 Pt 2.58, 3 Al 2.72
3 Pt 0.0000 0.0000 0.5000  6 As 2.58

***

Record 7
A plane-wave DFT calculation with GGA-PBE was carried out for crystalline AlAs2Pt at its relaxed geometry.

Calculated values
**Energy of formation from the pure elements**: -0.1814 eV/atom
**N(E_F)**: 0.45 states/eV per atom
**DFT total energy**: -4.952 eV/atom

Unit cell a=3.2098 b=3.9762 c=6.2602 alpha=90.00 beta=90.00 gamma=90.00
With the nearest neighbours (Å) after each atom.
Space group Pmm2 (No. 25)
Inequivalent atoms, fractional coordinates:
1 Al 0.0000 0.0000 0.0000  4 Pt 2.59, 4 As 2.60-2.75
2 As 0.0000 0.5000 0.7332  2 Al 2.60, 2 Pt 2.66
3 As 0.5000 0.0000 0.3558  2 Pt 2.67, 2 Al 2.75
4 Pt 0.5000 0.5000 0.0720  4 Al 2.59, 4 As 2.66-2.67

***

Record 8
A plane-wave DFT calculation with GGA-PBE was carried out for crystalline Al4AsPt at its relaxed geometry.

Calculated values
**Energy of formation from the pure elements**: 0.1492 eV/atom
**N(E_F)**: 0.61 states/eV per atom
**DFT total energy**: -4.128 eV/atom

Unit cell a=7.3991 b=7.3991 c=7.3991 alpha=90.00 beta=90.00 gamma=90.00
With the nearest neighbours (Å) after each atom.
Space group F-43m (No. 216)
Inequivalent atoms, fractional coordinates:
1 Al 0.1253 0.1253 0.1253  6 Al 2.61-2.62
2 As 0.2500 0.2500 0.7500  12 Al 3.07, 4 Pt 3.20
3 Pt 0.0000 0.0000 0.5000  12 Al 3.07, 4 As 3.20

***

- Look up the energy of formation from the pure elements of the third one.
  -0.0116 eV/atom